Entry 1:
11
Lattice="2.094 1.209 18.147 -2.094 1.209 18.147 0.000 -2.417 18.147" Properties=species:S:1:pos:R:3 comment="PBE Tm2Ag4Se5, optimized geometry" mass_density_g_cm3=7.02 spacegroup=R-3m raw_formation_energy_ev_per_atom=-0.6899 magnetic_moment_mub_per_fu=0.00 pbc="T T T"
Tm 0.000 0.000 7.439
Tm 0.000 0.000 47.000
Ag 0.000 0.000 17.085
Ag 0.000 0.000 22.600
Ag 0.000 0.000 31.839
Ag 0.000 0.000 37.354
Se 0.000 0.000 12.221
Se 0.000 0.000 20.056
Se 0.000 0.000 27.220
Se 0.000 0.000 34.384
Se 0.000 0.000 42.218

***

Entry 2:
10
Lattice="4.561 0.000 0.000 0.000 4.561 0.000 0.000 0.000 15.769" Properties=species:S:1:pos:R:3 comment="PBE Ba2MgPtAu, optimized geometry" mass_density_g_cm3=6.99 formation_energy_ev_per_atom=-0.639 spacegroup=P4/nmm magnetic_moment_mub_per_fu=0.00 pbc="T T T"
Ba 1.140 1.140 1.501
Ba 1.140 1.140 10.976
Ba 3.421 3.421 4.793
Ba 3.421 3.421 14.268
Mg 1.140 3.421 7.885
Mg 3.421 1.140 7.885
Pt 1.140 1.140 14.037
Pt 3.421 3.421 1.732
Au 1.140 1.140 6.267
Au 3.421 3.421 9.503

***

Entry 3:
9
Lattice="6.399 -1.695 0.000 6.399 1.695 0.000 -1.967 0.000 5.693" Properties=species:S:1:pos:R:3 comment="PBE Tb2UCr2C4, optimized geometry" mass_density_g_cm3=9.52 formation_energy_ev_per_atom=-0.084 spacegroup=C2/m magnetic_moment_mub_per_fu=1.09 pbc="T T T"
Tb 1.657 0.000 0.258
Tb 9.173 0.000 5.434
U -0.983 0.000 2.846
Cr 3.074 0.000 2.886
Cr 7.757 0.000 2.807
C 1.422 0.000 4.001
C 4.509 0.000 4.225
C 6.321 0.000 1.468
C 9.409 0.000 1.692

***

Entry 4:
4
Lattice="3.419 0.000 0.000 0.000 3.419 0.000 0.000 0.000 8.696" Properties=species:S:1:pos:R:3 comment="PBE LiGaBi2, optimized geometry" mass_density_g_cm3=8.08 formation_energy_ev_per_atom=-0.130 spacegroup=P4/mmm magnetic_moment_mub_per_fu=0.00 pbc="T T T"
Li 0.000 0.000 0.000
Ga 0.000 0.000 4.348
Bi 1.710 1.710 2.031
Bi 1.710 1.710 6.665

***

Entry 5:
14
Lattice="-2.628 2.628 3.705 2.628 -2.628 3.705 2.628 2.628 -3.705" Properties=species:S:1:pos:R:3 comment="PBE Cr2MoH4, optimized geometry" mass_density_g_cm3=6.62 dft_energy_ev_per_atom=-6.097 spacegroup=I4_1/amd magnetic_moment_mub_per_fu=1.32 pbc="T T T"
Cr 0.000 0.000 0.000
Cr 1.314 1.314 -1.853
Cr 1.314 -1.314 1.853
Cr 0.000 2.628 0.000
Mo 2.628 1.314 0.926
Mo 0.000 1.314 2.779
H 2.628 2.460 -1.967
H 2.628 -0.168 1.967
H 1.146 1.314 -0.115
H 1.482 -1.314 3.590
H 1.146 3.941 0.115
H 1.482 1.314 3.820
H 0.000 2.795 1.738
H 0.000 0.168 5.673

***

Entry 6:
8
Lattice="3.639 0.000 0.000 0.000 4.962 0.000 0.000 0.000 8.976" Properties=species:S:1:pos:R:3 comment="PBE YTa2As, optimized geometry" mass_density_g_cm3=10.77 formation_energy_ev_per_atom=0.152 spacegroup=Cmmm magnetic_moment_mub_per_fu=0.00 pbc="T T T"
Y 0.000 0.000 0.000
Y 1.820 2.481 0.000
Ta 0.000 2.481 2.605
Ta 0.000 2.481 6.371
Ta 1.820 0.000 2.605
Ta 1.820 0.000 6.371
As 0.000 0.000 4.488
As 1.820 2.481 4.488